DFT (PBE+U) results for a relaxed structure of CoPdO4.

Computed properties:
Density   5.4 g/cm3
Final energy   -5.328 eV/atom
Symmetry   I-4m2, No. 119

```
12
Lattice="3.8713 0.0000 0.0000 0.0000 3.8713 0.0000 0.0000 0.0000 9.3396" Properties=species:S:1:pos:R:3 pbc="T T T"
Co 0.0000 0.0000 0.0000
Co 1.9356 1.9356 4.6698
Pd 0.0000 1.9356 2.3349
Pd 1.9356 0.0000 7.0047
O 0.0000 0.0000 1.8840
O 0.0000 0.0000 7.4556
O 0.0000 1.9356 0.3231
O 0.0000 1.9356 4.3467
O 1.9356 0.0000 4.9929
O 1.9356 0.0000 9.0165
O 1.9356 1.9356 2.7858
O 1.9356 1.9356 6.5539
```